Record 1
Here is a relaxed ErSb2Pd crystal from Alexandria. Energies are from GGA-PBE.

Results
The calculation puts the uncorrected formation energy at -0.6160 eV per atom. As for the space group: P4/mmm.

a = 4.7299 Å, b = 4.7299 Å, c = 4.0371 Å
α = 90.00°, β = 90.00°, γ = 90.00°
Element x y z (fractional)
Er1 0.0000 0.0000 0.0000
Sb1 0.0000 0.5000 0.5000
Sb2 0.5000 0.0000 0.5000
Pd1 0.5000 0.5000 0.0000

=====

Record 2
Here is a relaxed Sc2TaIr crystal from Alexandria. Energies are from GGA-PBE.

Results
As for the formation energy: -0.376 eV per atom. As for the space group: P4/mmm.

a = 3.1380 Å, b = 3.1380 Å, c = 7.5855 Å
α = 90.00°, β = 90.00°, γ = 90.00°
Element x y z (fractional)
Sc1 0.0000 0.0000 0.2195
Sc2 0.0000 0.0000 0.7805
Ta1 0.5000 0.5000 0.5000
Ir1 0.5000 0.5000 0.0000

=====

Record 3
Here is a relaxed Al2HgAsH crystal from Alexandria. Energies are from GGA-PBE.

Results
For the total energy, the calculation gives -0.0827 Ha/atom. As for the space group: P4/mmm.

a = 4.9901 Å, b = 4.9901 Å, c = 5.4076 Å
α = 90.00°, β = 90.00°, γ = 90.00°
Element x y z (fractional)
Al1 0.0000 0.5000 0.0000
Al2 0.5000 0.0000 0.0000
Hg1 0.0000 0.0000 0.5000
As1 0.0000 0.0000 0.0000
H1 0.5000 0.5000 0.5000

=====

Record 4
Here is a relaxed Pr2Pd3Pb5 crystal from Alexandria. Energies are from GGA-PBE.

Results
As for the formation energy: -0.484 eV per atom. As for the space group: Cmc2_1.

a = 14.1329 Å, b = 14.1329 Å, c = 7.6949 Å
α = 90.00°, β = 90.00°, γ = 160.88°
Element x y z (fractional)
Pr1 0.0241 0.9759 0.5000
Pr2 0.3284 0.6716 0.5295
Pr3 0.6716 0.3284 0.0295
Pr4 0.9759 0.0241 0.0000
Pd1 0.1049 0.8951 0.2430
Pd2 0.2749 0.7251 0.0419
Pd3 0.4523 0.5477 0.2822
Pd4 0.5477 0.4523 0.7822
Pd5 0.7251 0.2749 0.5419
Pd6 0.8951 0.1049 0.7430
Pb1 0.0961 0.9039 0.8699
Pb2 0.2037 0.7963 0.3245
Pb3 0.2101 0.7899 0.7467
Pb4 0.3781 0.6219 0.0082
Pb5 0.4512 0.5488 0.6666
Pb6 0.5488 0.4512 0.1666
Pb7 0.6219 0.3781 0.5082
Pb8 0.7899 0.2101 0.2467
Pb9 0.7963 0.2037 0.8245
Pb10 0.9039 0.0961 0.3699

=====

Record 5
Here is a relaxed VZn5Cu4 crystal from Alexandria. Energies are from GGA-PBE.

Results
As for the formation energy: -0.074 eV per atom. As for the space group: P4/mmm.

a = 2.6794 Å, b = 2.6794 Å, c = 18.3230 Å
α = 90.00°, β = 90.00°, γ = 90.00°
Element x y z (fractional)
V1 0.0000 0.0000 0.0000
Zn1 0.5000 0.5000 0.1060
Zn2 0.5000 0.5000 0.3024
Zn3 0.5000 0.5000 0.5000
Zn4 0.5000 0.5000 0.6976
Zn5 0.5000 0.5000 0.8940
Cu1 0.0000 0.0000 0.2044
Cu2 0.0000 0.0000 0.4014
Cu3 0.0000 0.0000 0.5986
Cu4 0.0000 0.0000 0.7956

=====

Record 6
Here is a relaxed CeZr2Pa crystal from Alexandria. Energies are from GGA-PBE.

Results
As for the formation energy: 0.127 eV per atom. As for the space group: R-3m.

a = 11.1809 Å, b = 11.1809 Å, c = 11.1809 Å
α = 16.60°, β = 16.60°, γ = 16.60°
Element x y z (fractional)
Ce1 0.0000 0.0000 0.0000
Zr1 0.2488 0.2488 0.2488
Zr2 0.7512 0.7512 0.7512
Pa1 0.5000 0.5000 0.5000

=====

Record 7
Here is a relaxed Tb2Sm3Sc4 crystal from Alexandria. Energies are from GGA-PBE.

Results
As for the formation energy: 0.116 eV per atom. As for the space group: C2/c.

a = 9.8049 Å, b = 9.8049 Å, c = 5.8214 Å
α = 96.15°, β = 96.15°, γ = 70.60°
Element x y z (fractional)
Tb1 0.0014 0.2345 0.2917
Tb2 0.2345 0.0014 0.7917
Tb3 0.7655 0.9986 0.2083
Tb4 0.9986 0.7655 0.7083
Sm1 0.1484 0.8516 0.2500
Sm2 0.2198 0.4552 0.3982
Sm3 0.4552 0.2198 0.8982
Sm4 0.5448 0.7802 0.1018
Sm5 0.7802 0.5448 0.6018
Sm6 0.8516 0.1484 0.7500
Sc1 0.0954 0.3679 0.8486
Sc2 0.3290 0.5649 0.9549
Sc3 0.3679 0.0954 0.3486
Sc4 0.4351 0.6710 0.5451
Sc5 0.5649 0.3290 0.4549
Sc6 0.6321 0.9046 0.6514
Sc7 0.6710 0.4351 0.0451
Sc8 0.9046 0.6321 0.1514

=====

Please write out number 6 again, unchanged.
Here is a relaxed CeZr2Pa crystal from Alexandria. Energies are from GGA-PBE.

Results
As for the formation energy: 0.127 eV per atom. As for the space group: R-3m.

a = 11.1809 Å, b = 11.1809 Å, c = 11.1809 Å
α = 16.60°, β = 16.60°, γ = 16.60°
Element x y z (fractional)
Ce1 0.0000 0.0000 0.0000
Zr1 0.2488 0.2488 0.2488
Zr2 0.7512 0.7512 0.7512
Pa1 0.5000 0.5000 0.5000